Record 1
AlCd2As: optimized geometry, PBE-GGA.

Cell and atoms, written as POSCAR:
```
AlCd2As
1.0
-0.452 -3.078 0.116
0.797 0.068 3.009
-8.212 1.286 2.146
Cd Al As
2 1 1
Direct
0.000 0.000 0.007
0.000 0.000 0.493
0.500 0.500 0.250
0.500 0.500 0.750
```

Summary:
- Total energy: -2.378 eV/atom
- SG: Cmmm, No. 65
- Crystal system: orthorhombic
- Calculated density: 6.52 g/cm3
- Energy relative to the lowest polymorph listed for this composition: 0.139 eV/atom
- M_tot: 0.000 μB per atom


Record 2
AlCd2As: optimized geometry, PBE-GGA.

Cell and atoms, written as POSCAR:
```
AlCd2As
1.0
5.545 -0.125 0.000
-2.374 5.013 0.000
0.000 0.000 3.040
Cd As Al
2 1 1
Direct
0.000 0.000 0.000
0.500 0.500 0.000
0.000 0.500 0.500
0.500 0.000 0.500
```

Summary:
- Total energy: -2.385 eV/atom
- SG: Cmmm, No. 65
- Crystal system: orthorhombic
- Calculated density: 6.49 g/cm3
- Energy relative to the lowest polymorph listed for this composition: 0.133 eV/atom
- M_tot: 0.000 μB per atom


Record 3
AlCd2As: optimized geometry, PBE-GGA.

Cell and atoms, written as POSCAR:
```
AlCd2As
1.0
-6.494 2.317 -4.088
-2.534 -7.600 -0.282
-5.894 -2.270 0.216
As Al Cd
2 2 4
Direct
0.750 0.250 0.500
0.000 0.000 0.000
0.250 0.750 0.500
0.500 0.500 0.000
0.647 0.125 0.250
0.875 0.897 0.750
0.103 0.625 0.250
0.375 0.353 0.750
```

Summary:
- Total energy: -2.380 eV/atom
- SG: I-42d, No. 122
- Crystal system: tetragonal
- Calculated density: 6.04 g/cm3
- Energy relative to the lowest polymorph listed for this composition: 0.138 eV/atom
- M_tot: 0.000 μB per atom


Record 4
AlCd2As: optimized geometry, PBE-GGA.

Cell and atoms, written as POSCAR:
```
AlCd2As
1.0
3.175 -0.080 0.000
-0.159 3.172 0.000
0.000 0.000 8.338
Cd As Al
2 1 1
Direct
0.000 0.000 0.993
0.500 0.500 0.268
0.500 0.500 0.717
0.000 0.000 0.522
```

Summary:
- Total energy: -2.430 eV/atom
- SG: Cmm2, No. 35
- Crystal system: orthorhombic
- Calculated density: 6.47 g/cm3
- Energy relative to the lowest polymorph listed for this composition: 0.088 eV/atom
- M_tot: 0.000 μB per atom


Record 5
AlCd2As: optimized geometry, PBE-GGA.

Cell and atoms, written as POSCAR:
```
AlCd2As
1.0
6.273 -0.057 0.077
3.361 5.298 -0.077
-4.027 -4.073 2.561
Cd Al As
2 1 1
Direct
0.997 0.997 0.000
0.503 0.503 0.000
0.750 0.250 0.500
0.250 0.750 0.500
```

Summary:
- Total energy: -2.397 eV/atom
- SG: Immm, No. 71
- Crystal system: orthorhombic
- Calculated density: 6.44 g/cm3
- Energy relative to the lowest polymorph listed for this composition: 0.121 eV/atom
- M_tot: 0.000 μB per atom


Record 6
Al2Cd2As: optimized geometry, PBE-GGA.

Cell and atoms, written as POSCAR:
```
Al2Cd2As
1.0
-1.272 -7.121 0.941
6.840 -1.492 -2.049
1.248 0.299 3.947
Cd Al As
4 4 2
Direct
0.361 0.861 0.000
0.139 0.361 0.000
0.639 0.139 0.000
0.861 0.639 0.000
0.667 0.833 0.500
0.167 0.667 0.500
0.833 0.333 0.500
0.333 0.167 0.500
0.000 0.000 0.000
0.500 0.500 0.000
```

Summary:
- Total energy: -2.474 eV/atom
- SG: P4/mbm, No. 127
- Crystal system: tetragonal
- Calculated density: 5.32 g/cm3
- Energy relative to the lowest polymorph listed for this composition: 0.169 eV/atom
- M_tot: 0.000 μB per atom


Record 7
AlCd4As: optimized geometry, PBE-GGA.

Cell and atoms, written as POSCAR:
```
AlCd4As
1.0
-4.395 2.161 3.087
-5.247 0.501 -2.393
-4.308 -3.464 1.719
Cd Al As
4 1 1
Direct
0.375 0.875 0.375
0.375 0.375 0.375
0.375 0.375 0.875
0.875 0.375 0.375
0.750 0.750 0.750
0.000 0.000 0.000
```

Summary:
- Total energy: -1.695 eV/atom
- SG: F-43m, No. 216
- Crystal system: cubic
- Calculated density: 6.68 g/cm3
- M_tot: 0.000 μB per atom


Record 8
AlCd2As: optimized geometry, PBE-GGA.

Cell and atoms, written as POSCAR:
```
AlCd2As
1.0
5.464 0.038 0.000
2.052 5.064 0.000
-3.758 -2.551 3.038
As Cd Al
1 2 1
Direct
0.750 0.250 0.500
0.250 0.750 0.500
0.000 0.000 0.000
0.500 0.500 0.000
```

Summary:
- Total energy: -2.372 eV/atom
- SG: I-4m2, No. 119
- Crystal system: tetragonal
- Calculated density: 6.47 g/cm3
- Energy relative to the lowest polymorph listed for this composition: 0.146 eV/atom
- M_tot: 0.000 μB per atom


Record 9
AlCd2As: optimized geometry, PBE-GGA.

Cell and atoms, written as POSCAR:
```
AlCd2As
1.0
-4.103 -2.642 2.482
1.538 0.157 2.709
-2.261 4.320 0.860
Cd As Al
2 1 1
Direct
0.000 0.995 0.002
0.000 0.505 0.498
0.500 0.750 0.750
0.500 0.250 0.250
```

Summary:
- Total energy: -2.399 eV/atom
- SG: P2/m, No. 10
- Crystal system: monoclinic
- Calculated density: 6.42 g/cm3
- Energy relative to the lowest polymorph listed for this composition: 0.118 eV/atom
- M_tot: 0.000 μB per atom


Record 10
AlCdAs4: optimized geometry, PBE-GGA.

Cell and atoms, written as POSCAR:
```
AlCdAs4
1.0
0.000 4.004 4.004
4.004 0.000 4.004
4.004 4.004 0.000
Al As Cd
1 4 1
Direct
0.000 0.000 0.000
0.373 0.880 0.373
0.373 0.373 0.880
0.880 0.373 0.373
0.373 0.373 0.373
0.750 0.750 0.750
```

Summary:
- Total energy: -3.514 eV/atom
- SG: F-43m, No. 216
- Crystal system: cubic
- Calculated density: 5.68 g/cm3
- M_tot: 0.000 μB per atom


Record 11
AlCd2As: optimized geometry, PBE-GGA.

Cell and atoms, written as POSCAR:
```
AlCd2As
1.0
3.076 0.000 0.000
0.000 4.655 0.000
0.000 0.000 5.867
Al Cd As
1 2 1
Direct
0.500 0.500 0.250
0.000 0.000 0.499
0.000 0.000 0.001
0.500 0.500 0.750
```

Summary:
- Total energy: -2.379 eV/atom
- SG: Pmmm, No. 47
- Crystal system: orthorhombic
- Calculated density: 6.46 g/cm3
- Energy relative to the lowest polymorph listed for this composition: 0.139 eV/atom
- M_tot: 0.000 μB per atom


Record 12
AlCd2As: optimized geometry, PBE-GGA.

Cell and atoms, written as POSCAR:
```
AlCd2As
1.0
5.594 0.316 0.000
2.166 5.167 0.000
-3.880 -2.742 2.970
As Al Cd
1 1 2
Direct
0.750 0.250 0.500
0.250 0.750 0.500
0.500 0.500 0.000
0.000 0.000 0.000
```

Summary:
- Total energy: -2.385 eV/atom
- SG: I4/mmm, No. 139
- Crystal system: tetragonal
- Calculated density: 6.47 g/cm3
- Energy relative to the lowest polymorph listed for this composition: 0.133 eV/atom
- M_tot: 0.000 μB per atom


Which formula does entry 9 have? AlCd2As


Which value of M_tot does entry 6 give? 0.000 μB per atom


Among the records above, which one has the highest total energy? AlCd4As